(1)
DFT (GGA-PBE) results for a relaxed PmNdAl crystal.

The space group is I4mm (No. 107) and the conventional cell measures 3.523, 3.523 and 14.036 Å, with angles of 90.00, 90.00 and 90.00 degrees. Symmetry generates all atoms from Pm at (0.000, 0.000, 0.000), Nd at (0.000, 0.000, 0.709) and Al at (0.000, 0.000, 0.356).

The calculation puts the polymorph energy (0 for the lowest one) at 0 kJ/mol of formula units. Its energy relative to the elements is -203 meV per atom. The value obtained for the mass density is 6.029 Mg/m³. The calculation puts the spin magnetization at 0.000 μB/atom.

=====

(2)
DFT (GGA-PBE) results for a relaxed Pm4NdAl2 crystal.

The space group is Fmmm (No. 69) and the conventional cell measures 6.990, 10.586 and 11.748 Å, with angles of 90.00, 90.00 and 90.00 degrees. Symmetry generates all atoms from Pm at (0.000, 0.162, 0.000), Pm at (0.250, 0.250, 0.250), Nd at (0.000, 0.000, 0.500) and Al at (0.000, 0.000, 0.229).

The calculation puts the polymorph energy (0 for the lowest one) at 0 kJ/mol of formula units. Its energy relative to the elements is -7 meV per atom. The value obtained for the mass density is 5.946 Mg/m³. The calculation puts the spin magnetization at 0.000 μB/atom.

=====

(3)
DFT (GGA-PBE) results for a relaxed Pm3Nd4Al crystal.

The space group is C2/m (No. 12) and the conventional cell measures 27.618, 3.514 and 5.642 Å, with angles of 90.00, 101.46 and 90.00 degrees. Symmetry generates all atoms from Pm at (0.000, 0.000, 0.000), Pm at (0.155, 0.000, 0.159), Nd at (0.094, 0.000, 0.601), Nd at (0.216, 0.500, 0.718) and Al at (0.000, 0.500, 0.500).

Its energy relative to the elements is 94 meV per atom. The value obtained for the mass density is 6.431 Mg/m³. The calculation puts the spin magnetization at 0.024 μB/atom.

=====

(4)
DFT (GGA-PBE) results for a relaxed Pm4NdAl crystal.

The space group is Cm (No. 8) and the conventional cell measures 12.457, 3.797 and 8.761 Å, with angles of 90.00, 112.64 and 90.00 degrees. Symmetry generates all atoms from Pm at (0.000, 0.000, 0.000), Pm at (0.021, 0.000, 0.435), Pm at (0.192, 0.500, 0.841), Pm at (0.215, 0.500, 0.279), Nd at (0.358, 0.000, 0.640) and Al at (0.356, 0.000, 0.138).

The calculation puts the polymorph energy (0 for the lowest one) at 6 kJ/mol of formula units. Its energy relative to the elements is -89 meV per atom. The value obtained for the mass density is 6.524 Mg/m³. The calculation puts the spin magnetization at 0.000 μB/atom.

=====

(5)
DFT (GGA-PBE) results for a relaxed Pm6NdAl crystal.

The space group is P4/mmm (No. 123) and the conventional cell measures 4.967, 4.967 and 10.290 Å, with angles of 90.00, 90.00 and 90.00 degrees. Symmetry generates all atoms from Pm at (0.000, 0.000, 0.000), Pm at (0.000, 0.000, 0.500), Pm at (0.000, 0.500, 0.236), Nd at (0.500, 0.500, 0.500) and Al at (0.500, 0.500, 0.000).

Its energy relative to the elements is -57 meV per atom. The value obtained for the mass density is 6.811 Mg/m³. The calculation puts the spin magnetization at 0.000 μB/atom.

=====

(6)
DFT (GGA-PBE) results for a relaxed Pm3NdAl2 crystal.

The space group is Pmc2_1 (No. 26) and the conventional cell measures 5.239, 9.813 and 6.710 Å, with angles of 90.00, 90.00 and 90.00 degrees. Symmetry generates all atoms from Pm at (0.000, 0.046, 0.000), Pm at (0.000, 0.326, 0.338), Pm at (0.500, 0.173, 0.714), Nd at (0.500, 0.454, 0.053), Al at (0.000, 0.351, 0.817) and Al at (0.500, 0.147, 0.234).

The calculation puts the polymorph energy (0 for the lowest one) at 0 kJ/mol of formula units. Its energy relative to the elements is -251 meV per atom. The value obtained for the mass density is 6.097 Mg/m³. The calculation puts the spin magnetization at 0.000 μB/atom.

=====

(7)
DFT (GGA-PBE) results for a relaxed Pm4Nd5Al crystal.

The space group is P4/mmm (No. 123) and the conventional cell measures 4.226, 4.226 and 18.365 Å, with angles of 90.00, 90.00 and 90.00 degrees. Symmetry generates all atoms from Pm at (0.000, 0.000, 0.103), Pm at (0.000, 0.000, 0.308), Nd at (0.500, 0.500, 0.000), Nd at (0.500, 0.500, 0.207), Nd at (0.500, 0.500, 0.415) and Al at (0.000, 0.000, 0.500).

The calculation puts the polymorph energy (0 for the lowest one) at 0 kJ/mol of formula units. Its energy relative to the elements is 42 meV per atom. The value obtained for the mass density is 6.725 Mg/m³. The calculation puts the spin magnetization at 0.000 μB/atom.

=====

(8)
DFT (GGA-PBE) results for a relaxed Pm6Nd8Al crystal.

The space group is P-3 (No. 147) and the conventional cell measures 9.4860, 9.4860 and 6.5714 Å, with angles of 90.00, 90.00 and 120.00 degrees. Symmetry generates all atoms from Pm at (0.0940, 0.6460, 0.1724), Nd at (0.0424, 0.7791, 0.6896), Nd at (0.3333, 0.6667, 0.6454) and Al at (0.0000, 0.0000, 0.0000).

Its energy relative to the elements is 78 meV per atom. The value obtained for the mass density is 6.650 Mg/m³. The calculation puts the spin magnetization at 0.000 μB/atom.

=====

(9)
DFT (GGA-PBE) results for a relaxed Pm2Nd4Al crystal.

The space group is P-42m (No. 111) and the conventional cell measures 4.859, 4.859 and 10.708 Å, with angles of 90.00, 90.00 and 90.00 degrees. Symmetry generates all atoms from Pm at (0.000, 0.500, 0.000), Nd at (0.239, 0.239, 0.717) and Al at (0.500, 0.500, 0.500).

The calculation puts the polymorph energy (0 for the lowest one) at 315 kJ/mol of formula units. Its energy relative to the elements is 458 meV per atom. The value obtained for the mass density is 5.873 Mg/m³. The calculation puts the spin magnetization at 0.000 μB/atom.

=====

(10)
DFT (GGA-PBE) results for a relaxed Pm12Nd3Al crystal.

The space group is P4/mmm (No. 123) and the conventional cell measures 5.070, 5.070 and 20.639 Å, with angles of 90.00, 90.00 and 90.00 degrees. Symmetry generates all atoms from Pm at (0.000, 0.000, 0.000), Pm at (0.000, 0.000, 0.242), Pm at (0.000, 0.000, 0.500), Pm at (0.000, 0.500, 0.116), Pm at (0.000, 0.500, 0.372), Nd at (0.500, 0.500, 0.245), Nd at (0.500, 0.500, 0.500) and Al at (0.500, 0.500, 0.000).

Its energy relative to the elements is -14 meV per atom. The value obtained for the mass density is 6.884 Mg/m³. The calculation puts the spin magnetization at 0.000 μB/atom.

=====

(11)
DFT (GGA-PBE) results for a relaxed Pm5Nd2Al4 crystal.

The space group is P2/m (No. 10) and the conventional cell measures 8.593, 3.407 and 10.518 Å, with angles of 90.00, 97.73 and 90.00 degrees. Symmetry generates all atoms from Pm at (0.000, 0.000, 0.000), Pm at (0.033, 0.000, 0.342), Pm at (0.349, 0.000, 0.859), Nd at (0.414, 0.000, 0.358), Al at (0.254, 0.500, 0.577) and Al at (0.302, 0.500, 0.113).

Its energy relative to the elements is -179 meV per atom. The value obtained for the mass density is 6.103 Mg/m³. The calculation puts the spin magnetization at 0.000 μB/atom.

=====

(12)
DFT (GGA-PBE) results for a relaxed PmNd12Al3 crystal.

The space group is P4/mmm (No. 123) and the conventional cell measures 4.939, 4.939 and 20.227 Å, with angles of 90.00, 90.00 and 90.00 degrees. Symmetry generates all atoms from Pm at (0.000, 0.000, 0.000), Nd at (0.000, 0.500, 0.136), Nd at (0.000, 0.500, 0.379), Nd at (0.500, 0.500, 0.000), Nd at (0.500, 0.500, 0.259), Nd at (0.500, 0.500, 0.500), Al at (0.000, 0.000, 0.258) and Al at (0.000, 0.000, 0.500).

Its energy relative to the elements is -110 meV per atom. The value obtained for the mass density is 6.587 Mg/m³. The calculation puts the spin magnetization at 0.000 μB/atom.

=====

Going through the records in order, we get electronic total energy values of -27.74 -125.21 -72.63 -56.09 -37.47 -56.02 -46.17 -69.22 -29.11 -75.28 -50.23 -74.95 eV for the cell shown.